1.
# BaZn2CoSi PBE optimized geometry
data_BaZn2CoSi
_cell_length_a 4.799
_cell_length_b 4.799
_cell_length_c 4.442
_cell_angle_alpha 90.00
_cell_angle_beta 90.00
_cell_angle_gamma 90.00
_symmetry_space_group_name_H-M 'P 4/m m m'
_symmetry_Int_Tables_number 123
_symmetry_space_group_name_Hall '-P 4 2'
loop_
_atom_site_label
_atom_site_type_symbol
_atom_site_fract_x
_atom_site_fract_y
_atom_site_fract_z
Ba1 Ba 0.000 0.000 0.000
Zn1 Zn 0.000 0.500 0.500
Co1 Co 0.500 0.500 0.500
Si1 Si 0.500 0.500 0.000
# Raw formation energy ... -215 meV per atom
# Magnetization ... 0.00 μB per formula unit
# Mass density ... 5.8 g/cm³


2.
# RbDyTl2I6 PBE optimized geometry
data_RbDyTl2I6
_cell_length_a 8.7020
_cell_length_b 8.7020
_cell_length_c 22.9414
_cell_angle_alpha 90.00
_cell_angle_beta 90.00
_cell_angle_gamma 120.00
_symmetry_space_group_name_H-M 'R 3'
_symmetry_Int_Tables_number 146
_symmetry_space_group_name_Hall 'R 3'
loop_
_atom_site_label
_atom_site_type_symbol
_atom_site_fract_x
_atom_site_fract_y
_atom_site_fract_z
Rb1 Rb 0.0000 0.0000 0.0000
Dy1 Dy 0.0000 0.0000 0.4894
Tl1 Tl 0.0000 0.0000 0.2938
Tl2 Tl 0.0000 0.0000 0.8065
I1 I 0.0074 0.7264 0.4068
I2 I 0.0265 0.3037 0.5625
# Raw formation energy ... -1122 meV per atom
# Magnetization ... 0.00 μB per formula unit
# Mass density ... 4.7 g/cm³


3.
# TiReTeN2 PBE optimized geometry
data_TiReTeN2
_cell_length_a 3.916
_cell_length_b 3.916
_cell_length_c 5.827
_cell_angle_alpha 90.00
_cell_angle_beta 90.00
_cell_angle_gamma 90.00
_symmetry_space_group_name_H-M 'P 4/m m m'
_symmetry_Int_Tables_number 123
_symmetry_space_group_name_Hall '-P 4 2'
loop_
_atom_site_label
_atom_site_type_symbol
_atom_site_fract_x
_atom_site_fract_y
_atom_site_fract_z
Ti1 Ti 0.000 0.000 0.000
Re1 Re 0.500 0.500 0.500
Te1 Te 0.000 0.000 0.500
N1 N 0.000 0.500 0.000
# Raw formation energy ... 1095 meV per atom
# ΔE to the lowest computed polymorph ... 13.327 kcal/mol of atoms
# Magnetization ... 3.49 μB per formula unit
# Mass density ... 7.2 g/cm³


4.
# Ba2VMo PBE optimized geometry
data_Ba2VMo
_cell_length_a 9.019
_cell_length_b 9.019
_cell_length_c 6.631
_cell_angle_alpha 90.00
_cell_angle_beta 90.00
_cell_angle_gamma 90.00
_symmetry_space_group_name_H-M 'I -4 2 d'
_symmetry_Int_Tables_number 122
_symmetry_space_group_name_Hall 'I -4 2bw'
loop_
_atom_site_label
_atom_site_type_symbol
_atom_site_fract_x
_atom_site_fract_y
_atom_site_fract_z
Ba1 Ba 0.236 0.250 0.125
V1 V 0.000 0.000 0.500
Mo1 Mo 0.000 0.000 0.000
# ΔE to the lowest computed polymorph ... 4.595 kcal/mol of atoms
# Magnetization ... 7.05 μB per formula unit
# Formation energy from the elements ... 616 kJ/mol of formula units
# Mass density ... 5.2 g/cm³


5.
# LiPuHgO4 PBE optimized geometry
data_LiPuHgO4
_cell_length_a 6.898
_cell_length_b 7.274
_cell_length_c 8.110
_cell_angle_alpha 90.00
_cell_angle_beta 90.00
_cell_angle_gamma 90.00
_symmetry_space_group_name_H-M 'I m m a'
_symmetry_Int_Tables_number 74
_symmetry_space_group_name_Hall '-I 2b 2'
loop_
_atom_site_label
_atom_site_type_symbol
_atom_site_fract_x
_atom_site_fract_y
_atom_site_fract_z
Li1 Li 0.250 0.250 0.250
Pu1 Pu 0.000 0.000 0.000
Hg1 Hg 0.000 0.250 0.566
O1 O 0.000 0.039 0.234
O2 O 0.207 0.250 0.994
# Raw formation energy ... -1900 meV per atom
# Magnetization ... 3.00 μB per formula unit
# Mass density ... 8.4 g/cm³


6.
# Pm5Zn PBE optimized geometry
data_Pm5Zn
_cell_length_a 3.658
_cell_length_b 3.658
_cell_length_c 13.974
_cell_angle_alpha 90.00
_cell_angle_beta 90.00
_cell_angle_gamma 90.00
_symmetry_space_group_name_H-M 'P 4/m m m'
_symmetry_Int_Tables_number 123
_symmetry_space_group_name_Hall '-P 4 2'
loop_
_atom_site_label
_atom_site_type_symbol
_atom_site_fract_x
_atom_site_fract_y
_atom_site_fract_z
Pm1 Pm 0.000 0.000 0.000
Pm2 Pm 0.000 0.000 0.370
Pm3 Pm 0.500 0.500 0.184
Zn1 Zn 0.500 0.500 0.500
# ΔE to the lowest computed polymorph ... 0.000 kcal/mol of atoms
# Magnetization ... 0.00 μB per formula unit
# Formation energy from the elements ... -56 kJ/mol of formula units
# Mass density ... 7.0 g/cm³


7.
# Rb2YReI6 PBE optimized geometry
data_Rb2YReI6
_cell_length_a 11.568
_cell_length_b 11.568
_cell_length_c 11.568
_cell_angle_alpha 90.00
_cell_angle_beta 90.00
_cell_angle_gamma 90.00
_symmetry_space_group_name_H-M 'F m -3 m'
_symmetry_Int_Tables_number 225
_symmetry_space_group_name_Hall '-F 4 2 3'
loop_
_atom_site_label
_atom_site_type_symbol
_atom_site_fract_x
_atom_site_fract_y
_atom_site_fract_z
Rb1 Rb 0.250 0.250 0.250
Y1 Y 0.000 0.000 0.000
Re1 Re 0.000 0.000 0.500
I1 I 0.000 0.000 0.262
# Raw formation energy ... -655 meV per atom
# Magnetization ... 0.00 μB per formula unit
# Mass density ... 5.2 g/cm³


8.
# Cu2Sn2Se PBE optimized geometry
data_Cu2Sn2Se
_cell_length_a 8.122
_cell_length_b 8.122
_cell_length_c 3.089
_cell_angle_alpha 90.00
_cell_angle_beta 90.00
_cell_angle_gamma 90.00
_symmetry_space_group_name_H-M 'P 4/m b m'
_symmetry_Int_Tables_number 127
_symmetry_space_group_name_Hall '-P 4 2ab'
loop_
_atom_site_label
_atom_site_type_symbol
_atom_site_fract_x
_atom_site_fract_y
_atom_site_fract_z
Cu1 Cu 0.105 0.395 0.000
Sn1 Sn 0.193 0.693 0.500
Se1 Se 0.000 0.000 0.500
# Raw formation energy ... 141 meV per atom
# ΔE to the lowest computed polymorph ... 1.660 kcal/mol of atoms
# Magnetization ... 0.00 μB per formula unit
# Mass density ... 7.2 g/cm³